Sb2HBr | PBE-GGA | optimized geometry

Properties
total energy = -10.28 eV per cell

Lattice parameters (Å, degrees): 5.031 5.031 5.031 60.00 60.00 60.00
Fractional coordinates of all 4 atoms:
1 Sb 0.750 0.750 0.750
2 Sb 0.250 0.250 0.250
3 Br 0.500 0.500 0.500
4 H 0.000 0.000 0.000